# 1
This record from Alexandria describes BiP2OF at its PBEsol-relaxed geometry. The functional is SCAN.

Lattice parameters (Å, degrees): 5.323 5.323 4.172 90.00 90.00 90.00
Sites, in units of the cell vectors:
1 Bi 0.000 0.000 0.000
2 P 0.000 0.500 0.000
3 P 0.500 0.000 0.000
4 O 0.000 0.000 0.500
5 F 0.500 0.500 0.500

Properties
The raw formation energy comes out at 79.5 kJ per mole of atoms.


# 2
This record from Alexandria describes Sr2Ti2Bi2OF2 at its PBEsol-relaxed geometry. The functional is SCAN.

Lattice parameters (Å, degrees): 11.198 11.198 11.198 159.08 159.08 29.76
Sites, in units of the cell vectors:
1 Sr 0.185 0.185 0.000
2 Sr 0.815 0.815 0.000
3 Ti 0.000 0.500 0.500
4 Ti 0.500 0.000 0.500
5 Bi 0.402 0.402 0.000
6 Bi 0.598 0.598 0.000
7 O 0.000 0.000 0.000
8 F 0.250 0.750 0.500
9 F 0.750 0.250 0.500

Properties
The raw formation energy comes out at -223.2 kJ per mole of atoms.


# 3
This record from Alexandria describes Ta2BiO6F at its PBEsol-relaxed geometry. The functional is SCAN.

Lattice parameters (Å, degrees): 7.381 7.381 7.381 120.87 118.83 90.26
Sites, in units of the cell vectors:
1 Ta 0.000 0.000 0.000
2 Ta 0.500 0.000 0.000
3 Ta 0.500 0.000 0.500
4 Ta 0.500 0.500 0.500
5 Bi 0.000 0.500 0.500
6 Bi 0.500 0.500 0.000
7 O 0.184 0.324 0.267
8 O 0.184 0.917 0.860
9 O 0.198 0.948 0.250
10 O 0.426 0.676 0.750
11 O 0.443 0.083 0.767
12 O 0.443 0.676 0.360
13 O 0.557 0.324 0.640
14 O 0.557 0.917 0.233
15 O 0.574 0.324 0.250
16 O 0.802 0.052 0.750
17 O 0.816 0.083 0.140
18 O 0.816 0.676 0.733
19 F 0.134 0.384 0.750
20 F 0.866 0.616 0.250

Properties
The raw formation energy comes out at -251.6 kJ per mole of atoms.


# 4
This record from Alexandria describes TlBiOF2 at its PBEsol-relaxed geometry. The functional is SCAN.

Lattice parameters (Å, degrees): 4.619 4.619 4.474 90.00 90.00 90.00
Sites, in units of the cell vectors:
1 Tl 0.000 0.000 0.000
2 Bi 0.500 0.500 0.500
3 O 0.500 0.500 0.000
4 F 0.000 0.500 0.500
5 F 0.500 0.000 0.500

Properties
The raw formation energy comes out at -153.4 kJ per mole of atoms.


# 5
This record from Alexandria describes BiWOF2 at its PBEsol-relaxed geometry. The functional is SCAN.

Lattice parameters (Å, degrees): 4.456 4.456 4.632 90.00 90.00 90.00
Sites, in units of the cell vectors:
1 Bi 0.000 0.000 0.000
2 W 0.500 0.500 0.500
3 O 0.000 0.000 0.500
4 F 0.000 0.500 0.000
5 F 0.500 0.000 0.000

Properties
The raw formation energy comes out at 6.0 kJ per mole of atoms. The calculation puts the polymorph energy (0 for the lowest one) at 0 meV per atom.


# 6
This record from Alexandria describes BiWOF2 at its PBEsol-relaxed geometry. The functional is SCAN.

Lattice parameters (Å, degrees): 4.110 4.110 4.471 90.00 90.00 90.00
Sites, in units of the cell vectors:
1 Bi 0.000 0.000 0.000
2 W 0.500 0.500 0.000
3 O 0.000 0.000 0.500
4 F 0.000 0.500 0.500
5 F 0.500 0.000 0.500

Properties
The raw formation energy comes out at 64.2 kJ per mole of atoms. The calculation puts the polymorph energy (0 for the lowest one) at 602 meV per atom.


# 7
This record from Alexandria describes ZrBiOF2 at its PBEsol-relaxed geometry. The functional is SCAN.

Lattice parameters (Å, degrees): 4.519 4.519 4.544 90.00 90.00 90.00
Sites, in units of the cell vectors:
1 Zr 0.000 0.000 0.000
2 Bi 0.500 0.500 0.500
3 O 0.500 0.500 0.000
4 F 0.000 0.500 0.500
5 F 0.500 0.000 0.500

Properties
The raw formation energy comes out at -82.8 kJ per mole of atoms.


# 8
This record from Alexandria describes BiOs2PdF at its PBEsol-relaxed geometry. The functional is SCAN.

Lattice parameters (Å, degrees): 4.156 4.156 4.739 90.00 90.00 90.00
Sites, in units of the cell vectors:
1 Bi 0.000 0.000 0.000
2 Os 0.000 0.500 0.500
3 Os 0.500 0.000 0.500
4 Pd 0.500 0.500 0.000
5 F 0.000 0.000 0.500

Properties
The raw formation energy comes out at 129.3 kJ per mole of atoms.


| no. | electronic total energy (eV/cell) | total magnetization (μB per cell) |
| --- | --- | --- |
| 1 | -105.03 | 3.61 |
| 2 | -267.90 | 0.00 |
| 3 | -557.51 | 0.00 |
| 4 | -172.20 | 0.00 |
| 5 | -161.27 | 5.00 |
| 6 | -158.25 | 2.88 |
| 7 | -126.88 | 2.96 |
| 8 | -251.95 | 0.00 |